# 1
{
  "formula": "BaCa2Sm",
  "functional": "GGA-PBE",
  "state": "relaxed",
  "e_above_lowest_polymorph_ev_per_atom": 0.051,
  "space_group": "Fm-3m (225)",
  "formation_energy_ev_per_atom": 0.1429,
  "lattice_angstrom": [[6.2485, 0.0000, 0.0000], [3.1243, 5.4114, 0.0000], [3.1243, 1.8038, 5.1019]],
  "species": ["Ba", "Ca", "Ca", "Sm"],
  "frac_coords": [[0.5000, 0.5000, 0.5000], [0.7500, 0.7500, 0.7500], [0.2500, 0.2500, 0.2500], [0.0000, 0.0000, 0.0000]]
}

# 2
{
  "formula": "Rb4Pu3PbO12",
  "functional": "GGA-PBE",
  "state": "relaxed",
  "formation_energy_uncorrected_ev_per_atom": -2.262,
  "space_group": "Im-3m (229)",
  "lattice_angstrom": [[-0.5920, -0.1496, 7.5842], [5.4815, -4.7913, -2.2111], [1.7289, 7.0533, -2.2703]],
  "species": ["O", "O", "O", "O", "O", "O", "O", "O", "O", "O", "O", "O", "Rb", "Rb", "Rb", "Rb", "Pu", "Pu", "Pu", "Pb"],
  "frac_coords": [[0.2500, 0.7500, 0.5000], [0.7191, 0.7191, 0.0000], [0.2809, 0.0000, 0.2809], [0.2809, 0.2809, 0.0000], [0.7500, 0.5000, 0.2500], [0.2500, 0.5000, 0.7500], [0.7191, 0.0000, 0.7191], [0.0000, 0.7191, 0.7191], [0.7500, 0.2500, 0.5000], [0.0000, 0.2809, 0.2809], [0.5000, 0.7500, 0.2500], [0.5000, 0.2500, 0.7500], [0.5000, 0.0000, 0.0000], [0.5000, 0.5000, 0.5000], [0.0000, 0.0000, 0.5000], [0.0000, 0.5000, 0.0000], [0.0000, 0.5000, 0.5000], [0.5000, 0.0000, 0.5000], [0.5000, 0.5000, 0.0000], [0.0000, 0.0000, 0.0000]]
}